Record 1
Computed, not measured: a relaxed structure of LuTh3S at the PBE level of DFT.

Lattice parameters (Å, degrees): 5.4097 5.4097 5.4097 90.00 90.00 90.00
Fractional coordinates of all 5 atoms:
S  0.0000  0.0000  0.0000
Lu  0.5000  0.5000  0.5000
Th  0.0000  0.0000  0.5000
Th  0.0000  0.5000  0.0000
Th  0.5000  0.0000  0.0000

Results
M_tot, μB/cell: 0.00
Raw formation energy, meV per atom: -555
E, eV per atom: -6.736
Space group: Pm-3m (221)


Record 2
Computed, not measured: a relaxed structure of ScTlBi2 at the PBE level of DFT.

Lattice parameters (Å, degrees): 6.7872 6.7872 8.5509 66.62 66.62 90.00
Fractional coordinates of all 8 atoms:
Sc  0.5000  0.5000  0.0000
Sc  0.2500  0.7500  0.5000
Bi  0.1410  0.6250  0.2500
Bi  0.8750  0.8590  0.7500
Bi  0.6090  0.1250  0.2500
Bi  0.3750  0.3910  0.7500
Tl  0.7500  0.2500  0.5000
Tl  0.0000  0.0000  0.0000

Results
Calculated formation energy, eV per atom: 0.042
E above lowest polymorph, meV per atom: 297
M_tot, μB/cell: 0.00
E, eV per atom: -4.073
Space group: I-42d (122)


Record 3
Computed, not measured: a relaxed structure of Ba2TlRh at the PBE level of DFT.

Lattice parameters (Å, degrees): 5.0683 5.0683 8.6727 74.01 74.01 50.96
Fractional coordinates of all 4 atoms:
Rh  0.4964  0.4964  0.6258
Ba  0.1764  0.1764  0.3659
Ba  0.0270  0.0270  0.8838
Tl  0.8001  0.8001  0.6245

Results
Calculated formation energy, eV per atom: -0.254
E above lowest polymorph, meV per atom: 0
M_tot, μB/cell: 0.00
E, eV per atom: -3.645
Space group: Cm (8)


Record 4
Computed, not measured: a relaxed structure of Mg2BiHPd at the PBE level of DFT.

Lattice parameters (Å, degrees): 4.8798 4.8798 3.6891 90.00 90.00 90.00
Fractional coordinates of all 5 atoms:
Mg  0.0000  0.5000  0.0000
Mg  0.5000  0.0000  0.0000
Bi  0.5000  0.5000  0.5000
H  0.0000  0.0000  0.0000
Pd  0.0000  0.0000  0.5000

Results
M_tot, μB/cell: 0.00
E, eV per atom: -3.364
Space group: P4/mmm (123)


Record 5
Computed, not measured: a relaxed structure of ScAlNi2 at the PBE level of DFT.

Lattice parameters (Å, degrees): 3.2789 3.1934 5.5683 90.00 90.00 90.00
Fractional coordinates of all 4 atoms:
Ni  0.5000  0.5000  0.2471
Ni  0.0000  0.0000  0.9798
Al  0.5000  0.5000  0.8088
Sc  0.0000  0.0000  0.4644

Results
Calculated formation energy, eV per atom: -0.408
M_tot, μB/cell: 0.00
E, eV per atom: -5.817
Space group: Pmm2 (25)


Record 6
Computed, not measured: a relaxed structure of LaCuSi2 at the PBE level of DFT.

Lattice parameters (Å, degrees): 5.1710 5.1710 5.1710 130.37 130.37 72.81
Fractional coordinates of all 4 atoms:
Si  0.0000  0.0000  0.0000
Si  0.2500  0.7500  0.5000
Cu  0.5000  0.5000  0.0000
La  0.7500  0.2500  0.5000

Results
M_tot, μB/cell: 0.00
Raw formation energy, meV per atom: -14
E, eV per atom: -4.982
Space group: I-4m2 (119)


> Which of these has the highest E?

Mg2BiHPd


Repeat the second record exactly.
Computed, not measured: a relaxed structure of ScTlBi2 at the PBE level of DFT.

Lattice parameters (Å, degrees): 6.7872 6.7872 8.5509 66.62 66.62 90.00
Fractional coordinates of all 8 atoms:
Sc  0.5000  0.5000  0.0000
Sc  0.2500  0.7500  0.5000
Bi  0.1410  0.6250  0.2500
Bi  0.8750  0.8590  0.7500
Bi  0.6090  0.1250  0.2500
Bi  0.3750  0.3910  0.7500
Tl  0.7500  0.2500  0.5000
Tl  0.0000  0.0000  0.0000

Results
Calculated formation energy, eV per atom: 0.042
E above lowest polymorph, meV per atom: 297
M_tot, μB/cell: 0.00
E, eV per atom: -4.073
Space group: I-42d (122)